1.
Entry from the Alexandria database: a relaxed structure of Ce2Ge3Pt4Au (PBE).

Cell lengths 4.135, 4.135, 11.426 Å; angles 90.00, 90.00, 90.00 degrees
Element x y z (fractional)
Ce: 0.000 0.500 0.247
Ce: 0.500 0.000 0.753
Ge: 0.000 0.000 0.000
Ge: 0.000 0.500 0.627
Ge: 0.500 0.000 0.373
Pt: 0.000 0.000 0.500
Pt: 0.000 0.500 0.838
Pt: 0.500 0.000 0.162
Pt: 0.500 0.500 0.500
Au: 0.500 0.500 0.000

Output
**Space group**: No. 115
**Calculated total energy**: -6.121 eV/atom
**Total magnetization**: 1.194 μB per cell
**DOS(E_F)**: 1.36 states/eV per atom

2.
Entry from the Alexandria database: a relaxed structure of TiTlTc2O8 (PBE).

Cell lengths 5.628, 5.628, 7.842 Å; angles 91.27, 91.27, 61.96 degrees
Element x y z (fractional)
Ti: 0.000 0.000 0.000
Tl: 0.000 0.000 0.500
Tc: 0.347 0.347 0.226
Tc: 0.653 0.653 0.774
O: 0.179 0.696 0.161
O: 0.184 0.184 0.111
O: 0.304 0.821 0.839
O: 0.324 0.324 0.446
O: 0.676 0.676 0.554
O: 0.696 0.179 0.161
O: 0.816 0.816 0.889
O: 0.821 0.304 0.839

Output
**Space group**: No. 12
**Calculated total energy**: -7.534 eV/atom
**Formation energy (no corrections)**: -1.645 eV per atom
**Total magnetization**: 0.000 μB per cell
**DOS(E_F)**: 0.38 states/eV per atom

3.
Entry from the Alexandria database: a relaxed structure of Dy4CdCu2Pd (PBE).

Cell lengths 8.713, 8.713, 8.713 Å; angles 33.52, 33.52, 33.52 degrees
Element x y z (fractional)
Dy: 0.120 0.120 0.120
Dy: 0.371 0.371 0.371
Dy: 0.629 0.629 0.629
Dy: 0.880 0.880 0.880
Cd: 0.500 0.500 0.500
Cu: 0.244 0.244 0.244
Cu: 0.756 0.756 0.756
Pd: 0.000 0.000 0.000

Output
**Space group**: No. 166
**Calculated total energy**: -4.501 eV/atom
**Total magnetization**: 0.000 μB per cell
**DOS(E_F)**: 0.53 states/eV per atom

Q: Number 3 is which compound?
A: Dy4CdCu2Pd

Q: Look up the DOS(E_F) of the second one.
A: 0.38 states/eV per atom

Q: What is the DOS(E_F) in the third record?
A: 0.53 states/eV per atom

Q: What is the formula in the second record?
A: TiTlTc2O8